(1)
4
Lattice="2.809 0.000 0.000 0.000 3.942 0.000 0.000 0.000 6.040" Properties=species:S:1:pos:R:3 comment="HgRhW2 | Alexandria | PBE | optimized geometry" formation_enthalpy_0k_mev_per_atom=376 pbc="T T T"
Hg 0.000 0.000 0.000
Rh 1.404 1.971 1.586
W 0.000 0.000 2.939
W 1.404 1.971 4.369

(2)
12
Lattice="3.764 -6.512 0.000 3.764 6.512 0.000 -2.510 0.000 7.087" Properties=species:S:1:pos:R:3 comment="Dy6Sb5As | Alexandria | PBE | optimized geometry" energy_ev_per_atom=-5.592 pbc="T T T"
Dy -0.044 2.098 5.262
Dy 1.169 0.000 1.795
Dy -0.044 -2.098 5.262
Dy 5.063 2.098 1.825
Dy 3.850 0.000 5.292
Dy 5.063 -2.098 1.825
Sb 3.764 4.288 0.000
Sb 2.509 2.160 3.543
Sb 3.764 0.000 0.000
Sb 2.509 -2.160 3.543
Sb 3.764 -4.288 0.000
As -1.255 0.000 3.543

(3)
12
Lattice="9.411 0.000 0.000 0.000 2.634 0.000 -2.239 0.000 6.127" Properties=species:S:1:pos:R:3 comment="Mn2W | Alexandria | PBE | optimized geometry" formation_enthalpy_0k_mev_per_atom=179 polymorph_energy_mev_per_atom=261 pbc="T T T"
Mn -0.130 0.000 1.455
Mn 1.335 1.317 0.128
Mn 1.131 0.000 5.999
Mn 2.596 1.317 4.672
Mn 4.576 1.317 1.455
Mn 6.041 0.000 0.128
Mn 5.836 1.317 5.999
Mn 7.301 0.000 4.672
W 0.110 1.317 3.808
W 2.356 0.000 2.319
W 4.816 0.000 3.808
W 7.061 1.317 2.319

(4)
8
Lattice="4.938 0.000 0.000 0.000 4.938 0.000 0.000 0.000 9.906" Properties=species:S:1:pos:R:3 comment="SmHo2Er4Sc | Alexandria | PBE | optimized geometry" formation_enthalpy_0k_mev_per_atom=34 pbc="T T T"
Sm 0.000 0.000 0.000
Ho 0.000 0.000 4.953
Ho 2.469 2.469 0.000
Er 0.000 2.469 2.535
Er 0.000 2.469 7.371
Er 2.469 0.000 2.535
Er 2.469 0.000 7.371
Sc 2.469 2.469 4.953

(5)
16
Lattice="8.185 0.000 0.000 0.000 8.185 0.000 0.000 0.000 6.526" Properties=species:S:1:pos:R:3 comment="LiLa2Nb | Alexandria | PBE | optimized geometry" formation_enthalpy_0k_mev_per_atom=618 polymorph_energy_mev_per_atom=76 pbc="T T T"
Li 0.000 0.000 0.000
Li 0.000 4.093 1.631
Li 4.093 0.000 4.894
Li 4.093 4.093 3.263
La 1.985 2.046 4.079
La 2.046 6.078 5.710
La 2.046 6.200 2.447
La 2.107 2.046 0.816
La 6.078 6.139 0.816
La 6.139 1.985 2.447
La 6.139 2.107 5.710
La 6.200 6.139 4.079
Nb 0.000 0.000 3.263
Nb 0.000 4.093 4.894
Nb 4.093 0.000 1.631
Nb 4.093 4.093 0.000

(6)
16
Lattice="7.803 0.000 0.000 0.000 7.803 0.000 0.000 0.000 6.065" Properties=species:S:1:pos:R:3 comment="ZrTlAu2 | Alexandria | PBE | optimized geometry" formation_enthalpy_0k_mev_per_atom=0 pbc="T T T"
Zr 0.000 0.000 0.000
Zr 0.000 3.901 1.516
Zr 3.901 0.000 4.549
Zr 3.901 3.901 3.033
Tl 0.000 0.000 3.033
Tl 0.000 3.901 4.549
Tl 3.901 0.000 1.516
Tl 3.901 3.901 0.000
Au 1.841 1.951 0.758
Au 1.951 5.743 2.274
Au 1.951 5.962 5.307
Au 2.060 1.951 3.791
Au 5.743 5.852 3.791
Au 5.852 1.841 5.307
Au 5.852 2.060 2.274
Au 5.962 5.852 0.758

(7)
5
Lattice="3.823 0.000 0.000 0.000 3.823 0.000 0.000 0.000 2.772" Properties=species:S:1:pos:R:3 comment="MgHOF2 | Alexandria | PBE | optimized geometry" polymorph_energy_mev_per_atom=0 pbc="T T T"
Mg 0.000 0.000 0.000
H 1.911 1.911 1.386
O 1.911 1.911 0.000
F 0.000 1.911 1.386
F 1.911 0.000 1.386

(8)
12
Lattice="3.403 0.000 0.000 -1.702 2.947 0.000 0.000 0.000 33.254" Properties=species:S:1:pos:R:3 comment="AcPu2Mo | Alexandria | PBE | optimized geometry" formation_enthalpy_0k_mev_per_atom=571 pbc="T T T"
Ac 0.000 0.000 0.000
Ac 0.000 1.965 22.169
Ac 1.702 0.982 11.085
Pu 0.000 0.000 3.411
Pu 0.000 0.000 29.843
Pu 0.000 1.965 18.758
Pu 0.000 1.965 25.580
Pu 1.702 0.982 7.674
Pu 1.702 0.982 14.496
Mo 0.000 0.000 16.627
Mo 0.000 1.965 5.542
Mo 1.702 0.982 27.712

(9)
8
Lattice="5.402 0.000 0.000 0.000 7.629 0.000 0.000 0.000 2.766" Properties=species:S:1:pos:R:3 comment="PIr2Os | Alexandria | PBE | optimized geometry" formation_enthalpy_0k_mev_per_atom=269 pbc="T T T"
P 0.000 0.000 0.000
P 2.701 3.815 0.000
Ir 1.350 1.907 1.383
Ir 1.350 5.722 1.383
Ir 4.051 1.907 1.383
Ir 4.051 5.722 1.383
Os 0.000 3.815 0.000
Os 2.701 0.000 0.000

(10)
18
Lattice="1.850 -7.358 0.000 1.850 7.358 0.000 0.000 0.000 12.098" Properties=species:S:1:pos:R:3 comment="Ba2PmCuO5 | Alexandria | PBE | optimized geometry" energy_ev_per_atom=-6.328 pbc="T T T"
Ba 1.850 5.833 6.049
Ba 1.850 5.355 2.149
Ba 1.850 -5.355 8.199
Ba 1.850 -5.833 0.000
Pm 1.850 4.440 10.666
Pm 1.850 -4.440 4.616
Cu 1.850 1.005 2.696
Cu 1.850 -1.005 8.745
O 1.850 6.552 9.239
O 1.850 3.132 6.134
O 1.850 2.814 3.132
O 1.850 2.238 10.345
O 1.850 0.191 7.340
O 1.850 -0.191 1.291
O 1.850 -2.238 4.296
O 1.850 -2.814 9.181
O 1.850 -3.132 0.084
O 1.850 -6.552 3.190

(11)
5
Lattice="5.258 0.000 0.000 0.000 5.258 0.000 0.000 0.000 5.118" Properties=species:S:1:pos:R:3 comment="BaNaCdPd2 | Alexandria | PBE | optimized geometry" formation_enthalpy_0k_mev_per_atom=-61 pbc="T T T"
Ba 0.000 0.000 0.000
Na 2.629 2.629 0.000
Cd 2.629 2.629 2.559
Pd 0.000 2.629 2.559
Pd 2.629 0.000 2.559

(12)
16
Lattice="7.613 0.000 0.000 0.000 7.613 0.000 0.000 0.000 7.613" Properties=species:S:1:pos:R:3 comment="AcEuAsSe | Alexandria | PBE | optimized geometry" energy_ev_per_atom=-7.074 pbc="T T T"
Ac 0.000 0.000 0.000
Ac 0.000 3.807 3.807
Ac 3.807 0.000 3.807
Ac 3.807 3.807 0.000
Eu 0.000 0.000 3.807
Eu 0.000 3.807 0.000
Eu 3.807 0.000 0.000
Eu 3.807 3.807 3.807
As 1.903 1.903 5.710
As 1.903 5.710 1.903
As 5.710 1.903 1.903
As 5.710 5.710 5.710
Se 1.903 1.903 1.903
Se 1.903 5.710 5.710
Se 5.710 1.903 5.710
Se 5.710 5.710 1.903

Number 1: ρ 16665 kg/m³. Number 2: ρ 7928 kg/m³. Number 3: ρ 12846 kg/m³. Number 4: ρ 8208 kg/m³. Number 5: ρ 5737 kg/m³. Number 6: ρ 12403 kg/m³. Number 7: ρ 3251 kg/m³. Number 8: ρ 12113 kg/m³. Number 9: ρ 17646 kg/m³. Number 10: ρ 5680 kg/m³. Number 11: ρ 5698 kg/m³. Number 12: ρ 8021 kg/m³.